First-principles (meta-GGA SCAN) data for a PBEsol-optimized structure of Ba3Na2Sb4, as listed in Alexandria via LeMat-Bulk.

Summary:
- space-group type = P2_1/c (14)
- electronic total energy (eV/atom) = -31.606
- ΔE_f (raw) (eV per atom) = -0.9252
- total magnetic moment (μB/cell) = 0.00
- crystal system = monoclinic

a b c (Å): 8.1963 9.1761 16.8778
angles (deg): 89.67 90.00 90.00
Last column: nearest neighbours and their distance in Å.
Element x y z (fractional)
Ba: 0.8241 0.3197 0.1327  6 Sb 3.35-3.55
Ba: 0.3241 0.1803 0.3673  6 Sb 3.35-3.55
Ba: 0.4880 0.6905 0.0946  7 Sb 3.54-3.95, 1 Na 3.91
Ba: 0.4872 0.6881 0.4050  6 Sb 3.52-3.61
Ba: 0.1759 0.6803 0.8673  6 Sb 3.35-3.55
Ba: 0.0120 0.1905 0.5946  7 Sb 3.54-3.95, 1 Na 3.91
Ba: 0.6759 0.8197 0.6327  6 Sb 3.35-3.55
Ba: 0.5120 0.3095 0.9054  7 Sb 3.54-3.95, 1 Na 3.91
Ba: 0.9872 0.8119 0.0950  6 Sb 3.52-3.61
Ba: 0.0128 0.1881 0.9050  6 Sb 3.52-3.61
Ba: 0.9880 0.8095 0.4054  7 Sb 3.54-3.95, 1 Na 3.91
Ba: 0.5128 0.3119 0.5950  6 Sb 3.52-3.61
Na: 0.6484 0.9763 0.2471  3 Sb 3.16-3.28
Na: 0.3175 0.1647 0.1234  6 Sb 3.31-3.62
Na: 0.1484 0.5237 0.2529  3 Sb 3.16-3.28
Na: 0.8516 0.4763 0.7471  3 Sb 3.16-3.28
Na: 0.6825 0.8353 0.8766  6 Sb 3.31-3.62
Na: 0.8175 0.3353 0.3766  6 Sb 3.31-3.62
Na: 0.1825 0.6647 0.6234  6 Sb 3.31-3.62
Na: 0.3516 0.0237 0.7529  3 Sb 3.16-3.28
Sb: 0.8432 0.5337 0.9617  1 Sb 2.94
Sb: 0.1568 0.4663 0.0383  1 Sb 2.94
Sb: 0.1522 0.4669 0.4608  1 Sb 2.89
Sb: 0.8478 0.5331 0.5392  1 Sb 2.89
Sb: 0.6568 0.0337 0.4617  1 Sb 2.94
Sb: 0.2270 0.3632 0.7504  1 Sb 2.87
Sb: 0.6522 0.0331 0.0392  1 Sb 2.89
Sb: 0.7730 0.6368 0.2496  1 Sb 2.87
Sb: 0.9830 0.9240 0.7523  1 Sb 2.87, 1 Na 3.16
Sb: 0.0170 0.0760 0.2477  1 Sb 2.87, 1 Na 3.16
Sb: 0.5170 0.4240 0.2523  1 Sb 2.87, 1 Na 3.16
Sb: 0.3478 0.9669 0.9608  1 Sb 2.89
Sb: 0.4830 0.5760 0.7477  1 Sb 2.87, 1 Na 3.16
Sb: 0.7270 0.1368 0.7496  1 Sb 2.87
Sb: 0.3432 0.9663 0.5383  1 Sb 2.94
Sb: 0.2730 0.8632 0.2504  1 Sb 2.87

First-principles (meta-GGA SCAN) data for a PBEsol-optimized structure of GdGeIr, as listed in Alexandria via LeMat-Bulk.

Summary:
- space-group type = Pnma (62)
- electronic total energy (eV/atom) = -50.696
- total magnetic moment (μB/cell) = 28.80
- crystal system = orthorhombic
- ΔH_f (0 K) (eV/atom) = -1.028

a b c (Å): 4.3668 6.9114 7.4236
angles (deg): 90.00 90.00 90.00
Last column: nearest neighbours and their distance in Å.
Element x y z (fractional)
Ge: 0.7500 0.1777 0.0825  4 Ir 2.54-2.65
Ge: 0.2500 0.8223 0.9175  4 Ir 2.54-2.65
Ge: 0.2500 0.3223 0.5825  4 Ir 2.54-2.65
Ge: 0.7500 0.6777 0.4175  4 Ir 2.54-2.65
Ir: 0.7500 0.2949 0.4071  4 Ge 2.54-2.65
Ir: 0.2500 0.2051 0.9071  4 Ge 2.54-2.65
Ir: 0.7500 0.7949 0.0929  4 Ge 2.54-2.65
Ir: 0.2500 0.7051 0.5929  4 Ge 2.54-2.65
Gd: 0.2500 0.9857 0.3027  5 Ir 2.90-3.15, 6 Ge 3.03-3.17
Gd: 0.7500 0.0143 0.6973  5 Ir 2.90-3.15, 6 Ge 3.03-3.17
Gd: 0.7500 0.5143 0.8027  5 Ir 2.90-3.15, 6 Ge 3.03-3.17
Gd: 0.2500 0.4857 0.1973  5 Ir 2.90-3.15, 6 Ge 3.03-3.17

First-principles (meta-GGA SCAN) data for a PBEsol-optimized structure of Na3YS, as listed in Alexandria via LeMat-Bulk.

Summary:
- space-group type = Pm-3m (221)
- electronic total energy (eV/atom) = -10.153
- ΔE_f (raw) (eV per atom) = -0.1302
- total magnetic moment (μB/cell) = 1.90
- crystal system = cubic

a b c (Å): 5.3535 5.3535 5.3535
angles (deg): 90.00 90.00 90.00
Last column: nearest neighbours and their distance in Å.
Element x y z (fractional)
Na: 0.0000 0.0000 0.5000  2 S 2.68
Na: 0.5000 0.0000 0.0000  2 S 2.68
Na: 0.0000 0.5000 0.0000  2 S 2.68
Y: 0.5000 0.5000 0.5000  12 Na 3.79
S: 0.0000 0.0000 0.0000  6 Na 2.68

First-principles (meta-GGA SCAN) data for a PBEsol-optimized structure of NaScTlRe2, as listed in Alexandria via LeMat-Bulk.

Summary:
- space-group type = P4/mmm (123)
- electronic total energy (eV/atom) = -44.657
- total magnetic moment (μB/cell) = 2.89
- crystal system = tetragonal
- ΔH_f (0 K) (eV/atom) = 1.944

a b c (Å): 4.7571 5.0153 5.0153
angles (deg): 90.00 90.00 90.00
Last column: nearest neighbours and their distance in Å.
Element x y z (fractional)
Re: 0.0000 0.5000 0.0000  2 Tl 2.51
Re: 0.0000 0.0000 0.5000  2 Tl 2.51
Sc: 0.5000 0.5000 0.5000  8 Re 3.46, 4 Na 3.55
Tl: 0.0000 0.0000 0.0000  2 Na 2.38, 4 Re 2.51
Na: 0.5000 0.0000 0.0000  2 Tl 2.38

First-principles (meta-GGA SCAN) data for a PBEsol-optimized structure of AlNi3, as listed in Alexandria via LeMat-Bulk.

Summary:
- space-group type = Pm-3m (221)
- electronic total energy (eV/atom) = -14.557
- total magnetic moment (μB/cell) = 0.94
- crystal system = cubic
- ΔH_f (0 K) (eV/atom) = -0.490

a b c (Å): 3.5134 3.5167 3.5167
angles (deg): 90.00 90.00 90.00
Last column: nearest neighbours and their distance in Å.
Element x y z (fractional)
Ni: 0.5000 0.5000 0.0000  8 Ni 2.49, 4 Al 2.49
Ni: 0.0000 0.0000 0.0000  8 Ni 2.49, 4 Al 2.49
Ni: 0.5000 0.0000 0.5000  8 Ni 2.49, 4 Al 2.49
Al: 0.0000 0.5000 0.5000  12 Ni 2.49

First-principles (meta-GGA SCAN) data for a PBEsol-optimized structure of BAs2RhCl, as listed in Alexandria via LeMat-Bulk.

Summary:
- space-group type = P4/mmm (123)
- electronic total energy (eV/atom) = -17.384
- ΔE_f (raw) (eV per atom) = 0.5281
- total magnetic moment (μB/cell) = 0.00
- crystal system = tetragonal

a b c (Å): 3.9730 4.8458 4.8458
angles (deg): 90.00 90.00 90.00
Last column: nearest neighbours and their distance in Å.
Element x y z (fractional)
Rh: 0.0000 0.0000 0.0000  2 B 1.99
As: 0.0000 0.0000 0.5000  2 Rh 2.42
As: 0.0000 0.5000 0.0000  2 Rh 2.42
Cl: 0.5000 0.5000 0.5000  8 As 3.13, 4 B 3.43
B: 0.5000 0.0000 0.0000  2 Rh 1.99

Question: Number 5 is which compound?
Answer: AlNi3

Question: What is the total magnetic moment in the second record?
Answer: 28.80 μB/cell